No. 1
6
Lattice="3.490 0.000 0.000 0.000 4.848 0.000 -1.745 0.000 7.672" Properties=species:S:1:pos:R:3 comment="Sc2Hg GGA-PBEsol optimized geometry" e_form_ev_per_atom=-0.37 final_energy_ev_per_atom=-4.9647 pbc="T T T"
Sc 0.000 1.212 6.388
Sc 0.000 3.636 4.111
Sc 1.745 1.212 3.561
Sc 1.745 3.636 1.284
Hg 1.745 3.636 6.398
Hg 0.000 1.212 1.274



No. 2
3
Lattice="3.712 0.000 0.000 0.000 3.712 0.000 -1.856 -1.856 5.513" Properties=species:S:1:pos:R:3 comment="SbAsPb GGA-PBEsol optimized geometry" final_energy_ev_per_atom=-4.4641 pbc="T T T"
As 1.856 1.856 5.266
Sb 0.000 0.000 4.020
Pb 1.856 1.856 1.742



No. 3
5
Lattice="4.326 0.000 0.000 0.000 4.326 0.000 -2.163 -2.163 6.550" Properties=species:S:1:pos:R:3 comment="Li2LaIn2 GGA-PBEsol optimized geometry" e_form_ev_per_atom=-0.31 polymorph_energy_mev_per_atom=44.9 final_energy_ev_per_atom=-3.3604 pbc="T T T"
La 0.000 0.000 0.000
In 0.000 0.000 5.100
In 2.163 2.163 1.450
Li 2.163 0.000 3.275
Li 0.000 2.163 3.275



No. 4
18
Lattice="-3.892 1.035 -1.032 -1.828 -5.003 1.878 0.243 4.417 3.511" Properties=species:S:1:pos:R:3 comment="LaFe5H12 GGA-PBEsol optimized geometry" final_energy_ev_per_atom=-5.1260 pbc="T T T"
H -1.921 0.875 3.574
H -3.029 3.182 2.414
H -3.118 1.563 1.127
H -1.251 2.709 2.886
H -2.448 -2.733 1.943
H -1.340 1.090 1.599
H -3.555 -0.426 0.783
H -4.225 -2.260 1.471
H -1.778 -0.899 1.254
H -3.699 1.348 3.103
H -2.359 -1.113 3.230
H -4.136 -0.641 2.758
La 0.000 0.000 0.000
Fe -1.824 2.726 1.239
Fe -1.137 -1.863 2.422
Fe -2.860 -1.984 0.423
Fe -0.447 1.277 2.967
Fe -2.738 0.225 2.179



Q: Which formula does entry 4 have?
A: LaFe5H12